Co2HgAu, optimized geometry, DFT PBE-GGA; total magnetic moment = 3.241 Bohr magnetons per cell; formation enthalpy at 0 K = 345 meV/atom; calculated volume = 15.396 Å³ per atom; crystal system = monoclinic; space group = Cm
1.0
-1.600 -2.403 4.217
-1.798 -4.306 2.085
3.567 -2.372 1.788
Au Co Hg
1 2 1
Direct
0.268 0.268 0.211
0.026 0.026 0.000
0.722 0.722 0.754
0.484 0.484 0.534

***

CoHg2Au, optimized geometry, DFT PBE-GGA; total magnetic moment = 1.535 Bohr magnetons per cell; formation enthalpy at 0 K = 379 meV/atom; calculated volume = 18.654 Å³ per atom; crystal system = monoclinic; space group = Pm; energy relative to the lowest polymorph listed for this composition = 109 meV/atom
1.0
4.424 0.000 0.000
0.000 3.075 0.056
0.000 1.099 5.504
Au Co Hg
1 1 2
Direct
0.000 0.678 0.493
0.500 0.564 0.777
0.000 0.994 0.945
0.500 0.264 0.286

***

CoHgAu2, optimized geometry, DFT PBE-GGA; total magnetic moment = 1.699 Bohr magnetons per cell; formation enthalpy at 0 K = 289 meV/atom; calculated volume = 17.446 Å³ per atom; crystal system = monoclinic; space group = Cm
1.0
-0.131 -4.863 -0.504
0.962 -4.262 2.197
-4.564 -1.137 2.099
Au Co Hg
2 1 1
Direct
0.001 0.001 0.992
0.762 0.762 0.731
0.499 0.499 0.517
0.238 0.238 0.260

***

CoHgAu2, optimized geometry, DFT PBE-GGA; total magnetic moment = 1.790 Bohr magnetons per cell; formation enthalpy at 0 K = 212 meV/atom; calculated volume = 17.416 Å³ per atom; crystal system = tetragonal; space group = P4/mmm
1.0
-1.896 2.295 0.424
-1.347 -0.626 -2.615
-4.887 -4.710 3.645
Au Co Hg
2 1 1
Direct
0.000 0.000 0.036
0.000 0.000 0.464
0.500 0.500 0.250
0.500 0.500 0.750

***

CoHg2Au, optimized geometry, DFT PBE-GGA; total magnetic moment = 1.436 Bohr magnetons per cell; formation enthalpy at 0 K = 384 meV/atom; calculated volume = 18.271 Å³ per atom; crystal system = monoclinic; space group = C2/m; energy relative to the lowest polymorph listed for this composition = 114 meV/atom
1.0
6.698 0.254 0.810
-2.820 4.144 -0.257
1.058 0.851 2.711
Au Co Hg
1 1 2
Direct
0.000 0.500 0.500
0.500 0.500 0.000
0.000 0.000 0.000
0.500 0.000 0.500

***

CoHg3Au, optimized geometry, DFT PBE-GGA; total magnetic moment = 1.125 Bohr magnetons per cell; formation enthalpy at 0 K = 572 meV/atom; calculated volume = 24.907 Å³ per atom; crystal system = cubic; space group = Pm-3m; energy relative to the lowest polymorph listed for this composition = 0 meV/atom
1.0
4.994 0.000 0.000
0.000 4.994 0.000
0.000 0.000 4.994
Co Au Hg
1 1 3
Direct
0.000 0.000 0.000
0.500 0.500 0.500
0.000 0.500 0.000
0.000 0.000 0.500
0.500 0.000 0.000